Entry 1:
Material: NaNdSi2Au5
Method: DFT, PBE
State: optimized geometry

SG: No. 123
Mass density (g/cm³): 9.31
Crystal system: tetragonal
Raw formation energy (eV per atom): -0.245

Cell lengths 4.637, 4.637, 10.023 Å; angles 90.00, 90.00, 90.00 degrees
Atoms (fractional coordinates):
Na 0.000 0.000 0.000
Nd 0.000 0.000 0.500
Si 0.500 0.500 0.263
Si 0.500 0.500 0.737
Au 0.000 0.500 0.209
Au 0.000 0.500 0.791
Au 0.500 0.000 0.209
Au 0.500 0.000 0.791
Au 0.500 0.500 0.500

Entry 2:
Material: NaNdSnAu
Method: DFT, PBE
State: optimized geometry

SG: No. 216
Energy of formation (eV/atom): -0.51
Mass density (g/cm³): 7.88
Crystal system: cubic

Cell lengths 5.241, 5.241, 5.241 Å; angles 60.00, 60.00, 60.00 degrees
Atoms (fractional coordinates):
Na 0.000 0.000 0.000
Nd 0.500 0.500 0.500
Sn 0.250 0.250 0.250
Au 0.750 0.750 0.750

Entry 3:
Material: NaNdTlAu
Method: DFT, PBE
State: optimized geometry

SG: No. 216
Energy of formation (eV/atom): -0.39
Mass density (g/cm³): 9.26
Crystal system: cubic

Cell lengths 5.243, 5.243, 5.243 Å; angles 60.00, 60.00, 60.00 degrees
Atoms (fractional coordinates):
Na 0.000 0.000 0.000
Nd 0.500 0.500 0.500
Tl 0.250 0.250 0.250
Au 0.750 0.750 0.750

Entry 4:
Material: NaNi2Au2
Method: DFT, PBE
State: optimized geometry

SG: No. 139
Energy of formation (eV/atom): 0.15
Mass density (g/cm³): 10.21
Crystal system: tetragonal
E above lowest polymorph (eV/atom): 0.140

Cell lengths 7.009, 7.009, 7.009 Å; angles 149.79, 149.79, 43.24 degrees
Atoms (fractional coordinates):
Na 0.000 0.000 0.000
Ni 0.250 0.750 0.500
Ni 0.750 0.250 0.500
Au 0.393 0.393 0.000
Au 0.607 0.607 0.000

Entry 5:
Material: NaNi2Au
Method: DFT, PBE
State: optimized geometry

SG: No. 225
Energy of formation (eV/atom): 0.32
Mass density (g/cm³): 9.48
Crystal system: cubic
E above lowest polymorph (eV/atom): 0.000

Cell lengths 4.371, 4.371, 4.371 Å; angles 60.00, 60.00, 60.00 degrees
Atoms (fractional coordinates):
Na 0.000 0.000 0.000
Ni 0.250 0.250 0.250
Ni 0.750 0.750 0.750
Au 0.500 0.500 0.500

Entry 6:
Material: NaNi2Au2
Method: DFT, PBE
State: optimized geometry

SG: No. 139
Energy of formation (eV/atom): 0.22
Mass density (g/cm³): 9.59
Crystal system: tetragonal
E above lowest polymorph (eV/atom): 0.211

Cell lengths 5.571, 5.571, 5.571 Å; angles 132.38, 132.38, 69.62 degrees
Atoms (fractional coordinates):
Na 0.000 0.000 0.000
Ni 0.378 0.378 0.000
Ni 0.622 0.622 0.000
Au 0.250 0.750 0.500
Au 0.750 0.250 0.500

Entry 7:
Material: NaNi2Au
Method: DFT, PBE
State: optimized geometry

SG: No. 122
Energy of formation (eV/atom): 0.45
Mass density (g/cm³): 7.34
Crystal system: tetragonal
E above lowest polymorph (eV/atom): 0.135

Cell lengths 9.551, 9.551, 9.551 Å; angles 155.24, 155.24, 35.30 degrees
Atoms (fractional coordinates):
Na 0.000 0.000 0.000
Na 0.750 0.250 0.500
Ni 0.254 0.625 0.129
Ni 0.375 0.504 0.629
Ni 0.496 0.125 0.871
Ni 0.875 0.746 0.371
Au 0.250 0.750 0.500
Au 0.500 0.500 0.000

Entry 8:
Material: NaNi2Au2
Method: DFT, PBE
State: optimized geometry

SG: No. 127
Energy of formation (eV/atom): 0.01
Mass density (g/cm³): 10.91
Crystal system: tetragonal
E above lowest polymorph (eV/atom): 0.000

Cell lengths 7.698, 7.698, 2.744 Å; angles 90.00, 90.00, 90.00 degrees
Atoms (fractional coordinates):
Na 0.000 0.000 0.000
Na 0.500 0.500 0.000
Ni 0.112 0.388 0.000
Ni 0.388 0.888 0.000
Ni 0.612 0.112 0.000
Ni 0.888 0.612 0.000
Au 0.183 0.683 0.500
Au 0.317 0.183 0.500
Au 0.683 0.817 0.500
Au 0.817 0.317 0.500

Entry 9:
Material: Na2Ni2Au
Method: DFT, PBE
State: optimized geometry

SG: No. 127
Energy of formation (eV/atom): 0.20
Mass density (g/cm³): 6.45
Crystal system: tetragonal

Cell lengths 6.349, 6.349, 4.606 Å; angles 90.00, 90.00, 90.00 degrees
Atoms (fractional coordinates):
Na 0.181 0.319 0.000
Na 0.319 0.819 0.000
Na 0.681 0.181 0.000
Na 0.819 0.681 0.000
Ni 0.125 0.625 0.500
Ni 0.375 0.125 0.500
Ni 0.625 0.875 0.500
Ni 0.875 0.375 0.500
Au 0.000 0.000 0.500
Au 0.500 0.500 0.500

Entry 10:
Material: NaNiAu3
Method: DFT, PBE
State: optimized geometry

SG: No. 221
Energy of formation (eV/atom): 1.19
Mass density (g/cm³): 9.85
Crystal system: cubic

Cell lengths 4.840, 4.840, 4.840 Å; angles 90.00, 90.00, 90.00 degrees
Atoms (fractional coordinates):
Na 0.000 0.000 0.000
Ni 0.500 0.500 0.500
Au 0.000 0.000 0.500
Au 0.000 0.500 0.000
Au 0.500 0.000 0.000

Entry 11:
Material: Na2NiAu2
Method: DFT, PBE
State: optimized geometry

SG: No. 127
Energy of formation (eV/atom): -0.05
Mass density (g/cm³): 8.06
Crystal system: tetragonal

Cell lengths 6.595, 6.595, 4.725 Å; angles 90.00, 90.00, 90.00 degrees
Atoms (fractional coordinates):
Na 0.171 0.329 0.000
Na 0.329 0.829 0.000
Na 0.671 0.171 0.000
Na 0.829 0.671 0.000
Ni 0.000 0.000 0.500
Ni 0.500 0.500 0.500
Au 0.147 0.647 0.500
Au 0.353 0.147 0.500
Au 0.647 0.853 0.500
Au 0.853 0.353 0.500

Entry 12:
Material: NaNiPAu
Method: DFT, PBE
State: optimized geometry

SG: No. 129
Energy of formation (eV/atom): -0.35
Mass density (g/cm³): 6.81
Crystal system: tetragonal

Cell lengths 3.882, 3.882, 10.022 Å; angles 90.00, 90.00, 90.00 degrees
Atoms (fractional coordinates):
Na 0.250 0.250 0.246
Na 0.750 0.750 0.754
Ni 0.250 0.750 0.500
Ni 0.750 0.250 0.500
P 0.250 0.250 0.610
P 0.750 0.750 0.390
Au 0.250 0.750 0.000
Au 0.750 0.250 0.000